Here is a geometry-optimized TbPrBr2 structure from the Alexandria database. Energies are from PBE.

Values from the calculation:
Magnetization in Bohr magnetons per cell: 0.0
V in Å³/atom: 27.2
Energy relative to the lowest polymorph listed for this composition in eV/atom: 0.000
DOS(E_F) in states/eV per atom: 0.39
Density in g/cm³: 7.0
Formation energy without anion corrections in eV per atom: -1.08

Cell: 3.6597 3.6597 28.1461 Å, 90.00 90.00 120.00°
Last column: nearest neighbours and their distance in Å.
Space group R3m (No. 160, hexagonal axes)
Symmetry-distinct sites (fractional):
Tb1 0.0000 0.0000 0.0000  6 Br 3.09-3.14
Pr1 0.0000 0.0000 0.8361  6 Br 3.17-3.24
Br1 0.0000 0.0000 0.4156  3 Tb 3.14, 3 Pr 3.24
Br2 0.0000 0.0000 0.5866  3 Tb 3.09, 3 Pr 3.17

***

Here is a geometry-optimized La4Sn2Te structure from the Alexandria database. Energies are from PBE.

Values from the calculation:
Magnetization in Bohr magnetons per cell: 0.0
V in Å³/atom: 43.3
Energy relative to the lowest polymorph listed for this composition in eV/atom: 0.000
DOS(E_F) in states/eV per atom: 0.70
Density in g/cm³: 5.0
Formation energy without anion corrections in eV per atom: -0.69

Cell: 9.5145 9.5145 13.4081 Å, 90.00 90.00 90.00°
Last column: nearest neighbours and their distance in Å.
Space group I4_1/amd (No. 141, origin choice 2)
Symmetry-distinct sites (fractional):
La1 0.0000 0.0267 0.2626  3 Sn 3.19, 1 Te 3.22
Sn1 0.0000 0.0000 0.5000  6 La 3.19
Te1 0.0000 0.2500 0.8750  4 La 3.22

***

Here is a geometry-optimized TiAs2RuBr structure from the Alexandria database. Energies are from PBE.

Values from the calculation:
Magnetization in Bohr magnetons per cell: 2.9
V in Å³/atom: 23.7
Energy relative to the lowest polymorph listed for this composition in eV/atom: 0.172
DOS(E_F) in states/eV per atom: 0.83
Density in g/cm³: 5.3
Formation energy without anion corrections in eV per atom: 0.71

Cell: 4.8755 4.8755 4.9822 Å, 90.00 90.00 90.00°
Last column: nearest neighbours and their distance in Å.
Space group P4/mmm (No. 123)
Symmetry-distinct sites (fractional):
Ti1 0.0000 0.0000 0.0000  4 As 2.44, 2 Br 2.49
As1 0.0000 0.5000 0.0000  2 Ti 2.44
Ru1 0.5000 0.5000 0.5000  4 Br 3.45, 8 As 3.49
Br1 0.0000 0.0000 0.5000  2 Ti 2.49

***

Here is a geometry-optimized SmPuPb6 structure from the Alexandria database. Energies are from PBE.

Values from the calculation:
Magnetization in Bohr magnetons per cell: 5.8
V in Å³/atom: 29.1
DOS(E_F) in states/eV per atom: 1.69
Formation energy in eV per atom: -0.26
Density in g/cm³: 11.7

Cell: 4.8928 4.8928 9.7329 Å, 90.00 90.00 90.00°
Last column: nearest neighbours and their distance in Å.
Space group P4/mmm (No. 123)
Symmetry-distinct sites (fractional):
Sm1 0.0000 0.0000 0.0000  12 Pb 3.46-3.47
Pu1 0.0000 0.0000 0.5000  12 Pb 3.43-3.46
Pb1 0.0000 0.5000 0.2524  8 Pb 3.43-3.47, 2 Pu 3.43, 2 Sm 3.47
Pb2 0.5000 0.5000 0.0000  4 Sm 3.46, 8 Pb 3.47
Pb3 0.5000 0.5000 0.5000  8 Pb 3.43, 4 Pu 3.46

***

Here is a geometry-optimized AgP2W structure from the Alexandria database. Energies are from PBE.

Values from the calculation:
Magnetization in Bohr magnetons per cell: 0.0
V in Å³/atom: 15.8
Energy relative to the lowest polymorph listed for this composition in eV/atom: 0.265
DOS(E_F) in states/eV per atom: 0.40
Formation energy in eV per atom: 0.29
Density in g/cm³: 9.3

Cell: 3.4747 3.4747 5.2218 Å, 90.00 90.00 90.00°
Last column: nearest neighbours and their distance in Å.
Space group P4mm (No. 99)
Symmetry-distinct sites (fractional):
Ag1 0.0000 0.0000 0.0000  6 P 2.53-2.64
P1 0.0000 0.0000 0.5051  4 W 2.58, 2 Ag 2.58-2.64
P2 0.5000 0.5000 0.1179  1 W 2.42, 4 Ag 2.53
W1 0.5000 0.5000 0.6537  5 P 2.42-2.58

***

Here is a geometry-optimized CaPuSiO5 structure from the Alexandria database. Energies are from PBE.

Values from the calculation:
Magnetization in Bohr magnetons per cell: 16.0
V in Å³/atom: 14.2
DOS(E_F) in states/eV per atom: 0.16
Density in g/cm³: 5.8
Formation energy without anion corrections in eV per atom: -2.97

Cell: 6.8675 9.2443 7.6347 Å, 90.00 110.88 90.00°
Last column: nearest neighbours and their distance in Å.
Space group C2/c (No. 15)
Symmetry-distinct sites (fractional):
Ca1 0.0000 0.1554 0.2500  5 O 2.28-2.49
Pu1 0.0000 0.5000 0.0000  6 O 2.11-2.29
Si1 0.0000 0.1797 0.7500  4 O 1.66
O1 0.0000 0.4025 0.2500  2 Pu 2.11, 1 Ca 2.28
O2 0.1227 0.2849 0.6464  1 Si 1.66
O3 0.1588 0.0680 0.9059  1 Si 1.66

***

Here is a geometry-optimized Th8CoTe4Pt3 structure from the Alexandria database. Energies are from PBE.

Values from the calculation:
Magnetization in Bohr magnetons per cell: 0.0
V in Å³/atom: 29.4
DOS(E_F) in states/eV per atom: 0.83
Density in g/cm³: 10.6
Formation energy without anion corrections in eV per atom: -1.06

Cell: 14.9774 8.2561 9.1216 Å, 90.00 123.38 90.00°
Last column: nearest neighbours and their distance in Å.
Space group C2/m (No. 12)
Symmetry-distinct sites (fractional):
Th1 0.0095 0.2391 0.2972  1 Co 2.76, 2 Pt 2.89-3.01
Th2 0.2340 0.0000 0.7062  2 Pt 2.89, 1 Co 2.93
Th3 0.2392 0.5000 0.7102  3 Pt 2.88-2.99
Co1 0.0000 0.0000 0.5000  6 Th 2.76-2.93
Te1 0.0000 0.0000 0.0000  6 Th 3.29-3.30
Te2 0.0000 0.5000 0.0000  6 Th 3.36-3.40
Te3 0.2500 0.2500 0.0000  6 Th 3.29-3.30
Pt1 0.0000 0.5000 0.5000  6 Th 2.89-2.99
Pt2 0.2500 0.2500 0.5000  6 Th 2.88-3.01

***

Here is a geometry-optimized RbCd2Rh2 structure from the Alexandria database. Energies are from PBE.

Values from the calculation:
Magnetization in Bohr magnetons per cell: 1.2
V in Å³/atom: 21.0
Energy relative to the lowest polymorph listed for this composition in eV/atom: 0.000
DOS(E_F) in states/eV per atom: 0.86
Formation energy in eV per atom: 0.16
Density in g/cm³: 8.2

Cell: 8.3303 8.3303 3.0300 Å, 90.00 90.00 90.00°
Last column: nearest neighbours and their distance in Å.
Space group P4/mbm (No. 127)
Symmetry-distinct sites (fractional):
Rb1 0.0000 0.0000 0.0000  2 Rb 3.03, 4 Rh 3.35
Cd1 0.1719 0.3281 0.5000  6 Rh 2.87-2.93, 2 Cd 3.03
Rh1 0.1153 0.6153 0.0000  3 Rh 2.72-3.03, 6 Cd 2.87-2.93

***

Here is a geometry-optimized LiMnCl6 structure from the Alexandria database. Energies are from PBE.

Values from the calculation:
Magnetization in Bohr magnetons per cell: 12.4
V in Å³/atom: 35.9
Energy relative to the lowest polymorph listed for this composition in eV/atom: 0.004
DOS(E_F) in states/eV per atom: 0.94
Density in g/cm³: 1.6
Formation energy without anion corrections in eV per atom: -0.86

Cell: 12.6989 12.6989 6.1721 Å, 90.00 90.00 120.00°
Last column: nearest neighbours and their distance in Å.
Space group R-3m (No. 166, hexagonal axes)
Symmetry-distinct sites (fractional):
Li1 0.0000 0.0000 0.0000  6 Cl 2.54
Mn1 0.0000 0.0000 0.5000  6 Cl 2.27
Cl1 0.0834 0.1668 0.2847  1 Mn 2.27

***

What is the V in the third record? 23.7 Å³/atom

***

Number 8 is which compound? RbCd2Rh2

***

Which formula does entry 3 have? TiAs2RuBr